No. 1
Density functional theory data (PBE) for crystalline UNi2Pd at its relaxed geometry.

size of the total moment: 1.7 μB/f.u.
DOS at the Fermi energy: 6.0 states/eV per cell
total energy: -7.16 eV per atom
calculated formation energy: -145 meV/atom

```
4
Lattice="-2.4153 -3.5508 1.1670 1.9279 -3.4016 2.1251 -0.9201 -0.7533 4.2883" Properties=species:S:1:pos:R:3 pbc="T T T"
Ni -0.3519 -1.9264 1.8951
Ni -1.0557 -5.7793 5.6853
U 0.0000 0.0000 0.0000
Pd -0.7038 -3.8528 3.7902
```

No. 2
Density functional theory data (PBE) for crystalline ZnTeSe at its relaxed geometry.

size of the total moment: 0.0 μB/f.u.
DOS at the Fermi energy: 1.9 states/eV per cell
energy relative to the elements, uncorrected: 0.0868 eV/atom
total energy: -2.55 eV per atom
ΔE to the lowest computed polymorph: 0.430 eV/atom

```
3
Lattice="-4.7369 -6.2689 -0.0349 -2.1076 -7.1023 1.7788 -2.5348 0.7409 1.9807" Properties=species:S:1:pos:R:3 pbc="T T T"
Se -2.7241 0.1212 1.9703
Te -3.8489 -3.5622 1.9085
Zn -5.3411 -8.4485 1.8265
```

No. 3
Density functional theory data (PBE) for crystalline GeBP2S at its relaxed geometry.

size of the total moment: 0.2 μB/f.u.
DOS at the Fermi energy: 3.9 states/eV per cell
energy relative to the elements, uncorrected: 1.6825 eV/atom
total energy: -3.57 eV per atom
ΔE to the lowest computed polymorph: 0.909 eV/atom

```
5
Lattice="4.6925 0.0000 0.0000 0.0000 4.6925 0.0000 0.0000 0.0000 4.7080" Properties=species:S:1:pos:R:3 pbc="T T T"
P 0.0000 2.3463 0.0000
P 2.3463 0.0000 0.0000
Ge 0.0000 0.0000 0.0000
B 2.3463 2.3463 2.3540
S 0.0000 0.0000 2.3540
```

No. 4
Density functional theory data (PBE) for crystalline GePRhS2 at its relaxed geometry.

size of the total moment: 0.0 μB/f.u.
DOS at the Fermi energy: 3.9 states/eV per cell
energy relative to the elements, uncorrected: 0.4685 eV/atom
total energy: -4.66 eV per atom
ΔE to the lowest computed polymorph: 0.000 eV/atom

```
5
Lattice="-1.5637 4.5408 0.9414 0.1498 -0.9434 4.7998 4.0784 1.3748 0.1429" Properties=species:S:1:pos:R:3 pbc="T T T"
P 2.0392 0.6874 0.0715
Ge 1.3323 2.4861 2.9420
Rh 0.0000 0.0000 0.0000
S 0.0749 -0.4717 2.3999
S -0.7818 2.2704 0.4707
```

What is the formula in the fourth record?
GePRhS2

What is the total energy in the second record?
-2.55 eV per atom

Copy entry 3 word for word.
Density functional theory data (PBE) for crystalline GeBP2S at its relaxed geometry.

size of the total moment: 0.2 μB/f.u.
DOS at the Fermi energy: 3.9 states/eV per cell
energy relative to the elements, uncorrected: 1.6825 eV/atom
total energy: -3.57 eV per atom
ΔE to the lowest computed polymorph: 0.909 eV/atom

```
5
Lattice="4.6925 0.0000 0.0000 0.0000 4.6925 0.0000 0.0000 0.0000 4.7080" Properties=species:S:1:pos:R:3 pbc="T T T"
P 0.0000 2.3463 0.0000
P 2.3463 0.0000 0.0000
Ge 0.0000 0.0000 0.0000
B 2.3463 2.3463 2.3540
S 0.0000 0.0000 2.3540
```